No. 1
# Pr8CdNi2, relaxed, DFT PBE
data_Pr8CdNi2
_chemical_formula_sum 'Pr8 Cd1 Ni2'
_cell_length_a 8.2395
_cell_length_b 8.2395
_cell_length_c 5.6744
_cell_angle_alpha 97.71
_cell_angle_beta 97.71
_cell_angle_gamma 116.07
_space_group_name_H-M_alt 'P 1'
_space_group_IT_number 1
_space_group_name_Hall 'P 1'
loop_
_atom_site_label
_atom_site_fract_x
_atom_site_fract_y
_atom_site_fract_z
Pr1 0.0000 0.0000 0.0000
Pr2 0.0607 0.3135 0.6254
Pr3 0.1498 0.6438 0.1951
Pr4 0.3135 0.0607 0.6254
Pr5 0.4776 0.7308 0.7662
Pr6 0.6438 0.1498 0.1951
Pr7 0.7308 0.4776 0.7662
Pr8 0.7894 0.7894 0.3891
Cd1 0.3947 0.3947 0.1956
Ni1 0.0983 0.6908 0.6937
Ni2 0.6908 0.0983 0.6937
# - N(E_F): 13.80 states/eV/f.u.
# - E_tot: -4.678 eV/atom
# - Crystal system: monoclinic

***

No. 2
# Pr5CdNi2, relaxed, DFT PBE
data_Pr5CdNi2
_chemical_formula_sum 'Pr10 Cd2 Ni4'
_cell_length_a 8.8589
_cell_length_b 8.8589
_cell_length_c 8.8589
_cell_angle_alpha 125.76
_cell_angle_beta 125.76
_cell_angle_gamma 80.28
_space_group_name_H-M_alt 'P 1'
_space_group_IT_number 1
_space_group_name_Hall 'P 1'
loop_
_atom_site_label
_atom_site_fract_x
_atom_site_fract_y
_atom_site_fract_z
Pr1 0.0000 0.0000 0.0000
Pr2 0.0242 0.5242 0.8208
Pr3 0.2034 0.0242 0.5000
Pr4 0.2966 0.7966 0.8208
Pr5 0.4758 0.2966 0.5000
Pr6 0.5000 0.5000 0.0000
Pr7 0.5242 0.7034 0.5000
Pr8 0.7034 0.2034 0.1792
Pr9 0.7966 0.9758 0.5000
Pr10 0.9758 0.4758 0.1792
Cd1 0.2500 0.2500 0.0000
Cd2 0.7500 0.7500 0.0000
Ni1 0.1184 0.3816 0.5000
Ni2 0.3816 0.8816 0.2631
Ni3 0.6184 0.1184 0.7369
Ni4 0.8816 0.6184 0.5000
# - N(E_F): 9.26 states/eV/f.u.
# - E_tot: -4.754 eV/atom
# - Crystal system: tetragonal

***

No. 3
# Pr2Cd2Ni15, relaxed, DFT PBE
data_Pr2Cd2Ni15
_chemical_formula_sum 'Pr2 Cd2 Ni15'
_cell_length_a 6.4542
_cell_length_b 6.4542
_cell_length_c 6.4542
_cell_angle_alpha 83.07
_cell_angle_beta 83.07
_cell_angle_gamma 83.07
_space_group_name_H-M_alt 'P 1'
_space_group_IT_number 1
_space_group_name_Hall 'P 1'
loop_
_atom_site_label
_atom_site_fract_x
_atom_site_fract_y
_atom_site_fract_z
Pr1 0.1491 0.1491 0.1491
Pr2 0.8509 0.8509 0.8509
Cd1 0.3956 0.3956 0.3956
Cd2 0.6044 0.6044 0.6044
Ni1 0.0000 0.5000 0.5000
Ni2 0.1542 0.1542 0.6598
Ni3 0.1542 0.6598 0.1542
Ni4 0.1982 0.5000 0.8018
Ni5 0.1982 0.8018 0.5000
Ni6 0.3402 0.8458 0.8458
Ni7 0.5000 0.0000 0.5000
Ni8 0.5000 0.1982 0.8018
Ni9 0.5000 0.5000 0.0000
Ni10 0.5000 0.8018 0.1982
Ni11 0.6598 0.1542 0.1542
Ni12 0.8018 0.1982 0.5000
Ni13 0.8018 0.5000 0.1982
Ni14 0.8458 0.3402 0.8458
Ni15 0.8458 0.8458 0.3402
# - N(E_F): 24.37 states/eV/f.u.
# - E_tot: -5.278 eV/atom
# - Crystal system: trigonal

***

No. 4
# PrCdNi10, relaxed, DFT PBE
data_PrCdNi10
_chemical_formula_sum 'Pr1 Cd1 Ni10'
_cell_length_a 4.0072
_cell_length_b 4.8589
_cell_length_c 8.4294
_cell_angle_alpha 90.00
_cell_angle_beta 90.00
_cell_angle_gamma 90.00
_space_group_name_H-M_alt 'P 1'
_space_group_IT_number 1
_space_group_name_Hall 'P 1'
loop_
_atom_site_label
_atom_site_fract_x
_atom_site_fract_y
_atom_site_fract_z
Pr1 0.0000 0.0000 0.0000
Cd1 0.0000 0.5000 0.5000
Ni1 0.0000 0.0000 0.3426
Ni2 0.0000 0.0000 0.6574
Ni3 0.0000 0.5000 0.1806
Ni4 0.0000 0.5000 0.8194
Ni5 0.5000 0.0000 0.5000
Ni6 0.5000 0.2520 0.2550
Ni7 0.5000 0.2520 0.7450
Ni8 0.5000 0.5000 0.0000
Ni9 0.5000 0.7480 0.2550
Ni10 0.5000 0.7480 0.7450
# - N(E_F): 15.54 states/eV/f.u.
# - E_tot: -5.356 eV/atom
# - Crystal system: orthorhombic

***

No. 5
# Pr6CdNi2, relaxed, DFT PBE
data_Pr6CdNi2
_chemical_formula_sum 'Pr12 Cd2 Ni4'
_cell_length_a 8.7716
_cell_length_b 8.7716
_cell_length_c 8.7716
_cell_angle_alpha 113.86
_cell_angle_beta 108.52
_cell_angle_gamma 106.13
_space_group_name_H-M_alt 'P 1'
_space_group_IT_number 1
_space_group_name_Hall 'P 1'
loop_
_atom_site_label
_atom_site_fract_x
_atom_site_fract_y
_atom_site_fract_z
Pr1 0.0263 0.2284 0.7980
Pr2 0.1813 0.2943 0.4756
Pr3 0.1813 0.7057 0.8871
Pr4 0.3232 0.0153 0.6921
Pr5 0.3232 0.6311 0.3079
Pr6 0.4304 0.2284 0.2020
Pr7 0.5696 0.7716 0.7980
Pr8 0.6768 0.3689 0.6921
Pr9 0.6768 0.9847 0.3079
Pr10 0.8187 0.2943 0.1129
Pr11 0.8187 0.7057 0.5244
Pr12 0.9737 0.7716 0.2020
Cd1 0.0000 0.0000 0.0000
Cd2 0.5000 0.5000 0.0000
Ni1 0.1198 0.6198 0.5000
Ni2 0.3598 0.0000 0.3598
Ni3 0.6402 0.0000 0.6402
Ni4 0.8802 0.3802 0.5000
# - N(E_F): 9.75 states/eV/f.u.
# - E_tot: -4.775 eV/atom
# - Crystal system: orthorhombic

***

No. 6
# Pr2Cd3Ni2, relaxed, DFT PBE
data_Pr2Cd3Ni2
_chemical_formula_sum 'Pr4 Cd6 Ni4'
_cell_length_a 10.3543
_cell_length_b 4.0672
_cell_length_c 7.4431
_cell_angle_alpha 90.00
_cell_angle_beta 96.19
_cell_angle_gamma 90.00
_space_group_name_H-M_alt 'P 1'
_space_group_IT_number 1
_space_group_name_Hall 'P 1'
loop_
_atom_site_label
_atom_site_fract_x
_atom_site_fract_y
_atom_site_fract_z
Pr1 0.1266 0.0000 0.3522
Pr2 0.3734 0.5000 0.6478
Pr3 0.6266 0.5000 0.3522
Pr4 0.8734 0.0000 0.6478
Cd1 0.0000 0.5000 0.0000
Cd2 0.1806 0.0000 0.8591
Cd3 0.3194 0.5000 0.1409
Cd4 0.5000 0.0000 0.0000
Cd5 0.6806 0.5000 0.8591
Cd6 0.8194 0.0000 0.1409
Ni1 0.0781 0.5000 0.6358
Ni2 0.4219 0.0000 0.3642
Ni3 0.5781 0.0000 0.6358
Ni4 0.9219 0.5000 0.3642
# - N(E_F): 4.29 states/eV/f.u.
# - E_tot: -3.691 eV/atom
# - Crystal system: monoclinic

***

No. 7
# PrCdNi, relaxed, DFT PBE
data_PrCdNi
_chemical_formula_sum 'Pr4 Cd4 Ni4'
_cell_length_a 6.6419
_cell_length_b 6.6419
_cell_length_c 6.6419
_cell_angle_alpha 90.00
_cell_angle_beta 90.00
_cell_angle_gamma 90.00
_space_group_name_H-M_alt 'P 1'
_space_group_IT_number 1
_space_group_name_Hall 'P 1'
loop_
_atom_site_label
_atom_site_fract_x
_atom_site_fract_y
_atom_site_fract_z
Pr1 0.0000 0.0000 0.0000
Pr2 0.0000 0.5000 0.5000
Pr3 0.5000 0.0000 0.5000
Pr4 0.5000 0.5000 0.0000
Cd1 0.0000 0.0000 0.5000
Cd2 0.0000 0.5000 0.0000
Cd3 0.5000 0.0000 0.0000
Cd4 0.5000 0.5000 0.5000
Ni1 0.2500 0.2500 0.2500
Ni2 0.2500 0.7500 0.7500
Ni3 0.7500 0.2500 0.7500
Ni4 0.7500 0.7500 0.2500
# - N(E_F): 2.66 states/eV/f.u.
# - E_tot: -4.007 eV/atom
# - Crystal system: cubic

***

No. 8
# Pr11Cd9Ni4, relaxed, DFT PBE
data_Pr11Cd9Ni4
_chemical_formula_sum 'Pr11 Cd9 Ni4'
_cell_length_a 13.4706
_cell_length_b 13.4706
_cell_length_c 3.7561
_cell_angle_alpha 90.00
_cell_angle_beta 90.00
_cell_angle_gamma 112.54
_space_group_name_H-M_alt 'P 1'
_space_group_IT_number 1
_space_group_name_Hall 'P 1'
loop_
_atom_site_label
_atom_site_fract_x
_atom_site_fract_y
_atom_site_fract_z
Pr1 0.0000 0.0000 0.0000
Pr2 0.0799 0.4171 0.0000
Pr3 0.1608 0.8392 0.0000
Pr4 0.3112 0.3112 0.0000
Pr5 0.3738 0.6262 0.0000
Pr6 0.4171 0.0799 0.0000
Pr7 0.5829 0.9201 0.0000
Pr8 0.6262 0.3738 0.0000
Pr9 0.6888 0.6888 0.0000
Pr10 0.8392 0.1608 0.0000
Pr11 0.9201 0.5829 0.0000
Cd1 0.0793 0.2188 0.5000
Cd2 0.1612 0.6343 0.5000
Cd3 0.2188 0.0793 0.5000
Cd4 0.3657 0.8388 0.5000
Cd5 0.5000 0.5000 0.5000
Cd6 0.6343 0.1612 0.5000
Cd7 0.7812 0.9207 0.5000
Cd8 0.8388 0.3657 0.5000
Cd9 0.9207 0.7812 0.5000
Ni1 0.2499 0.4502 0.5000
Ni2 0.4502 0.2499 0.5000
Ni3 0.5498 0.7501 0.5000
Ni4 0.7501 0.5498 0.5000
# - N(E_F): 21.94 states/eV/f.u.
# - E_tot: -3.837 eV/atom
# - Crystal system: orthorhombic

***

No. 9
# Pr6Cd3Ni, relaxed, DFT PBE
data_Pr6Cd3Ni
_chemical_formula_sum 'Pr12 Cd6 Ni2'
_cell_length_a 8.5440
_cell_length_b 8.5440
_cell_length_c 8.5440
_cell_angle_alpha 80.40
_cell_angle_beta 80.40
_cell_angle_gamma 80.40
_space_group_name_H-M_alt 'P 1'
_space_group_IT_number 1
_space_group_name_Hall 'P 1'
loop_
_atom_site_label
_atom_site_fract_x
_atom_site_fract_y
_atom_site_fract_z
Pr1 0.0094 0.0094 0.6763
Pr2 0.0094 0.6763 0.0094
Pr3 0.2894 0.2894 0.6413
Pr4 0.2894 0.6413 0.2894
Pr5 0.3237 0.9906 0.9906
Pr6 0.3587 0.7106 0.7106
Pr7 0.6413 0.2894 0.2894
Pr8 0.6763 0.0094 0.0094
Pr9 0.7106 0.3587 0.7106
Pr10 0.7106 0.7106 0.3587
Pr11 0.9906 0.3237 0.9906
Pr12 0.9906 0.9906 0.3237
Cd1 0.0063 0.3725 0.3725
Cd2 0.3725 0.0063 0.3725
Cd3 0.3725 0.3725 0.0063
Cd4 0.6275 0.6275 0.9937
Cd5 0.6275 0.9937 0.6275
Cd6 0.9937 0.6275 0.6275
Ni1 0.0000 0.0000 0.0000
Ni2 0.5000 0.5000 0.5000
# - N(E_F): 10.51 states/eV/f.u.
# - E_tot: -3.852 eV/atom
# - Crystal system: trigonal

***

Number 1: energy of formation from the pure elements -0.067 eV/atom. Number 2: energy of formation from the pure elements -0.207 eV/atom. Number 3: energy of formation from the pure elements -0.115 eV/atom. Number 4: energy of formation from the pure elements -0.063 eV/atom. Number 5: energy of formation from the pure elements -0.202 eV/atom. Number 6: energy of formation from the pure elements -0.281 eV/atom. Number 7: energy of formation from the pure elements -0.182 eV/atom. Number 8: energy of formation from the pure elements -0.340 eV/atom. Number 9: energy of formation from the pure elements -0.132 eV/atom.